CsWN2F: optimized geometry, PBE+U.

Output
SG: P4/mmm
Excess energy over the best structure of this formula in the dataset: 0.0 kJ per mole of atoms
Energy: -29.010 eV/cell
Volume: 15.80 Å³ per atom

Cell: 4.106 4.106 4.687 Å, 90.00 90.00 90.00°
Fractional positions:
Cs 0.000 0.000 0.000
W 0.500 0.500 0.500
N 0.000 0.500 0.500
N 0.500 0.000 0.500
F 0.500 0.500 0.000